Record 1
Compound: NaAgTeS3
Source: the Alexandria database
Functional: PBE
Structure: optimized geometry

Cell and atoms, written as CIF:
```
data_NaAgTeS3
_chemical_formula_sum 'Na2 Ag2 Te2 S6'
_symmetry_space_group_name_H-M 'P 1 21/m 1'
_symmetry_Int_Tables_number 11
_symmetry_space_group_name_Hall '-P 2yb'
_cell_length_a 7.309
_cell_length_b 3.922
_cell_length_c 11.005
_cell_angle_alpha 90.00
_cell_angle_beta 100.31
_cell_angle_gamma 90.00
loop_
_atom_site_label
_atom_site_fract_x
_atom_site_fract_y
_atom_site_fract_z
Na1 0.036 0.250 0.342
Ag1 0.338 0.250 0.000
Te1 0.439 0.250 0.660
S1 0.199 0.250 0.787
S2 0.264 0.750 0.512
S3 0.350 0.250 0.217
```

Values from the calculation:
Its total magnetization is 0.00 μB/cell. The calculation puts the calculated total energy at -3.578 eV per atom.

***

Record 2
Compound: Na4AgTe3S8
Source: the Alexandria database
Functional: PBE
Structure: optimized geometry

Cell and atoms, written as CIF:
```
data_Na4AgTe3S8
_chemical_formula_sum 'Na8 Ag2 Te6 S16'
_symmetry_space_group_name_H-M 'C 1 2/m 1'
_symmetry_Int_Tables_number 12
_symmetry_space_group_name_Hall '-C 2y'
_cell_length_a 14.383
_cell_length_b 7.644
_cell_length_c 7.950
_cell_angle_alpha 90.00
_cell_angle_beta 120.27
_cell_angle_gamma 90.00
loop_
_atom_site_label
_atom_site_fract_x
_atom_site_fract_y
_atom_site_fract_z
Na1 0.000 0.000 0.000
Na2 0.000 0.500 0.000
Na3 0.250 0.250 0.500
Ag1 0.000 0.000 0.500
Te1 0.000 0.500 0.500
Te2 0.250 0.250 0.000
S1 0.032 0.251 0.754
S2 0.223 0.000 0.205
S3 0.231 0.500 0.218
```

Values from the calculation:
Its total magnetization is 0.00 μB/cell. The calculation puts the calculated total energy at -3.566 eV per atom.

***

Record 3
Compound: Na3AgTe2S6
Source: the Alexandria database
Functional: PBE
Structure: optimized geometry

Cell and atoms, written as CIF:
```
data_Na3AgTe2S6
_chemical_formula_sum 'Na6 Ag2 Te4 S12'
_symmetry_space_group_name_H-M 'P 1 21 1'
_symmetry_Int_Tables_number 4
_symmetry_space_group_name_Hall 'P 2yb'
_cell_length_a 5.910
_cell_length_b 12.265
_cell_length_c 8.337
_cell_angle_alpha 90.00
_cell_angle_beta 92.63
_cell_angle_gamma 90.00
loop_
_atom_site_label
_atom_site_fract_x
_atom_site_fract_y
_atom_site_fract_z
Na1 0.236 0.000 0.375
Na2 0.253 0.317 0.882
Na3 0.262 0.657 0.393
Ag1 0.281 0.966 0.880
Te1 0.209 0.334 0.423
Te2 0.211 0.645 0.940
S1 0.192 0.123 0.080
S2 0.194 0.843 0.633
S3 0.238 0.179 0.593
S4 0.250 0.800 0.110
S5 0.266 0.476 0.617
S6 0.287 0.498 0.124
```

Values from the calculation:
Its total magnetization is 0.00 μB/cell. The calculation puts the calculated total energy at -3.662 eV per atom.

***

Record 4
Compound: Na2AgTeS4
Source: the Alexandria database
Functional: PBE
Structure: optimized geometry

Cell and atoms, written as CIF:
```
data_Na2AgTeS4
_chemical_formula_sum 'Na4 Ag2 Te2 S8'
_symmetry_space_group_name_H-M 'I -4 2 m'
_symmetry_Int_Tables_number 121
_symmetry_space_group_name_Hall 'I -4 2'
_cell_length_a 7.384
_cell_length_b 7.384
_cell_length_c 6.737
_cell_angle_alpha 90.00
_cell_angle_beta 90.00
_cell_angle_gamma 90.00
loop_
_atom_site_label
_atom_site_fract_x
_atom_site_fract_y
_atom_site_fract_z
Na1 0.000 0.500 0.000
Ag1 0.000 0.000 0.000
Te1 0.000 0.000 0.500
S1 0.187 0.187 0.276
```

Values from the calculation:
Its total magnetization is 0.00 μB/cell. The calculation puts the calculated total energy at -3.427 eV per atom.

***

Record 5
Compound: Na2ThAgS4
Source: the Alexandria database
Functional: PBE
Structure: optimized geometry

Cell and atoms, written as CIF:
```
data_Na2ThAgS4
_chemical_formula_sum 'Na8 Th4 Ag4 S16'
_symmetry_space_group_name_H-M 'C m c m'
_symmetry_Int_Tables_number 63
_symmetry_space_group_name_Hall '-C 2c 2'
_cell_length_a 3.942
_cell_length_b 13.450
_cell_length_c 13.826
_cell_angle_alpha 90.00
_cell_angle_beta 90.00
_cell_angle_gamma 90.00
loop_
_atom_site_label
_atom_site_fract_x
_atom_site_fract_y
_atom_site_fract_z
Na1 0.000 0.133 0.060
Th1 0.000 0.397 0.250
Ag1 0.000 0.336 0.750
S1 0.000 0.045 0.250
S2 0.000 0.194 0.630
S3 0.000 0.500 0.000
```

Values from the calculation:
Its total magnetization is 2.83 μB/cell. The calculation puts the calculated total energy at -4.716 eV per atom.

***

Record 6
Compound: NaTm2AgS4
Source: the Alexandria database
Functional: PBE
Structure: optimized geometry

Cell and atoms, written as CIF:
```
data_NaTm2AgS4
_chemical_formula_sum 'Na1 Tm2 Ag1 S4'
_symmetry_space_group_name_H-M 'P 1 2/m 1'
_symmetry_Int_Tables_number 10
_symmetry_space_group_name_Hall '-P 2y'
_cell_length_a 6.804
_cell_length_b 3.938
_cell_length_c 6.870
_cell_angle_alpha 90.00
_cell_angle_beta 109.41
_cell_angle_gamma 90.00
loop_
_atom_site_label
_atom_site_fract_x
_atom_site_fract_y
_atom_site_fract_z
Na1 0.000 0.000 0.000
Tm1 0.000 0.500 0.500
Tm2 0.500 0.000 0.500
Ag1 0.500 0.500 0.000
S1 0.244 0.000 0.731
S2 0.257 0.500 0.272
```

Values from the calculation:
Its total magnetization is 0.00 μB/cell. The calculation puts the calculated total energy at -5.270 eV per atom.

***

Record 7
Compound: Na3UAg2S6
Source: the Alexandria database
Functional: PBE
Structure: optimized geometry

Cell and atoms, written as CIF:
```
data_Na3UAg2S6
_chemical_formula_sum 'Na6 U2 Ag4 S12'
_symmetry_space_group_name_H-M 'C 1 2/m 1'
_symmetry_Int_Tables_number 12
_symmetry_space_group_name_Hall '-C 2y'
_cell_length_a 6.444
_cell_length_b 11.887
_cell_length_c 7.007
_cell_angle_alpha 90.00
_cell_angle_beta 107.03
_cell_angle_gamma 90.00
loop_
_atom_site_label
_atom_site_fract_x
_atom_site_fract_y
_atom_site_fract_z
Na1 0.000 0.000 0.000
Na2 0.000 0.321 0.000
U1 0.000 0.500 0.500
Ag1 0.000 0.150 0.500
S1 0.222 0.500 0.253
S2 0.245 0.345 0.718
```

Values from the calculation:
Its total magnetization is 0.00 μB/cell. The calculation puts the calculated total energy at -4.657 eV per atom.

***

Record 8
Compound: Na4U3AgS8
Source: the Alexandria database
Functional: PBE
Structure: optimized geometry

Cell and atoms, written as CIF:
```
data_Na4U3AgS8
_chemical_formula_sum 'Na12 U9 Ag3 S24'
_symmetry_space_group_name_H-M 'R -3 m'
_symmetry_Int_Tables_number 166
_symmetry_space_group_name_Hall '-R 3 2"'
_cell_length_a 7.9206
_cell_length_b 7.9206
_cell_length_c 20.1420
_cell_angle_alpha 90.00
_cell_angle_beta 90.00
_cell_angle_gamma 120.00
loop_
_atom_site_label
_atom_site_fract_x
_atom_site_fract_y
_atom_site_fract_z
Na1 0.0000 0.0000 0.0000
Na2 0.0000 0.5000 0.0000
U1 0.0000 0.5000 0.5000
Ag1 0.0000 0.0000 0.5000
S1 0.0000 0.0000 0.2434
S2 0.0117 0.5059 0.7573
```

Values from the calculation:
Its total magnetization is 21.00 μB/cell. The calculation puts the calculated total energy at -5.921 eV per atom.

***

Record 9
Compound: NaU2AgS6
Source: the Alexandria database
Functional: PBE
Structure: optimized geometry

Cell and atoms, written as CIF:
```
data_NaU2AgS6
_chemical_formula_sum 'Na3 U6 Ag3 S18'
_symmetry_space_group_name_H-M 'R 3'
_symmetry_Int_Tables_number 146
_symmetry_space_group_name_Hall 'R 3'
_cell_length_a 6.7698
_cell_length_b 6.7698
_cell_length_c 18.4557
_cell_angle_alpha 90.00
_cell_angle_beta 90.00
_cell_angle_gamma 120.00
loop_
_atom_site_label
_atom_site_fract_x
_atom_site_fract_y
_atom_site_fract_z
Na1 0.0000 0.0000 0.0000
U1 0.0000 0.0000 0.2963
U2 0.0000 0.0000 0.8001
Ag1 0.0000 0.0000 0.4874
S1 0.0025 0.6125 0.0487
S2 0.0057 0.3661 0.5503
```

Values from the calculation:
Its total magnetization is 6.00 μB/cell. The calculation puts the calculated total energy at -6.173 eV per atom.

***

Record 10
Compound: NaUAgS3
Source: the Alexandria database
Functional: PBE
Structure: optimized geometry

Cell and atoms, written as CIF:
```
data_NaUAgS3
_chemical_formula_sum 'Na2 U2 Ag2 S6'
_symmetry_space_group_name_H-M 'P 1 21/m 1'
_symmetry_Int_Tables_number 11
_symmetry_space_group_name_Hall '-P 2yb'
_cell_length_a 7.317
_cell_length_b 4.036
_cell_length_c 10.091
_cell_angle_alpha 90.00
_cell_angle_beta 103.20
_cell_angle_gamma 90.00
loop_
_atom_site_label
_atom_site_fract_x
_atom_site_fract_y
_atom_site_fract_z
Na1 0.137 0.250 0.170
U1 0.366 0.250 0.827
Ag1 0.144 0.750 0.561
S1 0.013 0.250 0.692
S2 0.285 0.750 0.994
S3 0.480 0.750 0.691
```

Values from the calculation:
Its total magnetization is 4.00 μB/cell. The calculation puts the calculated total energy at -5.678 eV per atom.

***

Record 11
Compound: NaUAg2S4
Source: the Alexandria database
Functional: PBE
Structure: optimized geometry

Cell and atoms, written as CIF:
```
data_NaUAg2S4
_chemical_formula_sum 'Na2 U2 Ag4 S8'
_symmetry_space_group_name_H-M 'I -4 m 2'
_symmetry_Int_Tables_number 119
_symmetry_space_group_name_Hall 'I -4 -2'
_cell_length_a 5.413
_cell_length_b 5.413
_cell_length_c 11.484
_cell_angle_alpha 90.00
_cell_angle_beta 90.00
_cell_angle_gamma 90.00
loop_
_atom_site_label
_atom_site_fract_x
_atom_site_fract_y
_atom_site_fract_z
Na1 0.000 0.000 0.000
U1 0.000 0.500 0.750
Ag1 0.000 0.000 0.500
Ag2 0.000 0.500 0.250
S1 0.000 0.000 0.247
S2 0.000 0.500 0.528
```

Values from the calculation:
Its total magnetization is 1.99 μB/cell. The calculation puts the calculated total energy at -5.139 eV per atom.

***

Record 12
Compound: Na2VAgS4
Source: the Alexandria database
Functional: PBE
Structure: optimized geometry

Cell and atoms, written as CIF:
```
data_Na2VAgS4
_chemical_formula_sum 'Na4 V2 Ag2 S8'
_symmetry_space_group_name_H-M 'P m n 21'
_symmetry_Int_Tables_number 31
_symmetry_space_group_name_Hall 'P 2ac -2'
_cell_length_a 7.924
_cell_length_b 6.722
_cell_length_c 7.071
_cell_angle_alpha 90.00
_cell_angle_beta 90.00
_cell_angle_gamma 90.00
loop_
_atom_site_label
_atom_site_fract_x
_atom_site_fract_y
_atom_site_fract_z
Na1 0.249 0.204 0.000
V1 0.000 0.212 0.577
Ag1 0.000 0.772 0.085
S1 0.000 0.105 0.287
S2 0.000 0.953 0.759
S3 0.221 0.392 0.635
```

Values from the calculation:
Its total magnetization is 0.00 μB/cell. The calculation puts the calculated total energy at -4.695 eV per atom.